The following is a DFT calculation (meta-GGA SCAN) of a crystal of LaZr2As relaxed with PBEsol.

Calculated total energy   -125.14 eV/f.u.
Total magnetic moment   0.0001 μB per atom
E_form   -0.1116 eV per atom
Space-group type   F-43m (216)

abc: 5.020 5.020 5.020
angles: 60.00 60.00 60.00
Element x y z (fractional)
La  0.000  0.000  0.000
Zr  0.250  0.250  0.250
Zr  0.500  0.500  0.500
As  0.750  0.750  0.750